(i)
# Sr3Pt2

A relaxed Sr3Pt2 crystal (GGA-PBE, the Alexandria database).

Computed properties:
As for the density of states at the Fermi level: 0.34 states/eV/atom. Its symmetry is No. 166.

a = 10.830 Å, b = 10.830 Å, c = 10.830 Å
α = 23.42°, β = 23.42°, γ = 23.42°
Element x y z (fractional)
Sr (0.773, 0.773, 0.773)
Sr (0.000, 0.000, 0.000)
Pt (0.391, 0.391, 0.391)
Sr (0.227, 0.227, 0.227)
Pt (0.609, 0.609, 0.609)

(ii)
# Sr3Pt2

A relaxed Sr3Pt2 crystal (GGA-PBE, the Alexandria database).

Computed properties:
As for the density of states at the Fermi level: 0.35 states/eV/atom. Its symmetry is No. 164.

a = 5.214 Å, b = 5.214 Å, c = 6.429 Å
α = 90.00°, β = 90.00°, γ = 120.00°
Element x y z (fractional)
Pt (0.667, 0.333, 0.172)
Pt (0.333, 0.667, 0.828)
Sr (0.667, 0.333, 0.671)
Sr (0.333, 0.667, 0.329)
Sr (0.000, 0.000, 0.000)

We find (ii) to be the most stable, with the next structure 71 meV/atom higher.

(i)
# Sr3Pt5

A relaxed Sr3Pt5 crystal (GGA-PBE, the Alexandria database).

Computed properties:
As for the density of states at the Fermi level: 0.43 states/eV/atom. Its symmetry is No. 65.

a = 6.101 Å, b = 6.101 Å, c = 4.559 Å
α = 90.00°, β = 90.00°, γ = 92.18°
Element x y z (fractional)
Pt (0.253, 0.253, 0.500)
Sr (0.227, 0.773, 0.500)
Pt (0.500, 0.000, 0.000)
Pt (0.747, 0.747, 0.500)
Sr (0.500, 0.500, 0.000)
Sr (0.773, 0.227, 0.500)
Pt (0.000, 0.000, 0.000)
Pt (0.000, 0.500, 0.000)

(ii)
# Sr3Pt5

A relaxed Sr3Pt5 crystal (GGA-PBE, the Alexandria database).

Computed properties:
As for the density of states at the Fermi level: 0.39 states/eV/atom. Its symmetry is No. 8.

a = 9.019 Å, b = 9.019 Å, c = 7.883 Å
α = 102.54°, β = 102.54°, γ = 134.56°
Element x y z (fractional)
Pt (0.134, 0.426, 0.398)
Pt (0.017, 0.773, 0.814)
Sr (0.827, 0.958, 0.934)
Pt (0.324, 0.824, 0.715)
Pt (0.868, 0.368, 0.582)
Pt (0.404, 0.067, 0.527)
Sr (0.925, 0.996, 0.449)
Sr (0.496, 0.425, 0.449)
Sr (0.497, 0.997, 0.157)
Pt (0.273, 0.517, 0.814)
Pt (0.926, 0.634, 0.398)
Sr (0.907, 0.407, 0.985)
Sr (0.458, 0.327, 0.934)
Pt (0.343, 0.541, 0.162)
Pt (0.567, 0.904, 0.527)
Pt (0.041, 0.843, 0.162)

We find (ii) to be the most stable, with the next structure 171 meV/atom higher.

(i)
# Sr2TaPt2

A relaxed Sr2TaPt2 crystal (GGA-PBE, the Alexandria database).

Computed properties:
As for the density of states at the Fermi level: 0.61 states/eV/atom. Its symmetry is No. 139.

a = 4.342 Å, b = 4.342 Å, c = 7.287 Å
α = 72.67°, β = 72.67°, γ = 90.00°
Element x y z (fractional)
Pt (0.405, 0.405, 0.189)
Ta (0.000, 0.000, 0.000)
Sr (0.750, 0.250, 0.500)
Sr (0.250, 0.750, 0.500)
Pt (0.595, 0.595, 0.811)

(ii)
# Sr2TaPt2

A relaxed Sr2TaPt2 crystal (GGA-PBE, the Alexandria database).

Computed properties:
As for the density of states at the Fermi level: 0.90 states/eV/atom. Its symmetry is No. 127.

a = 6.942 Å, b = 6.942 Å, c = 5.076 Å
α = 90.00°, β = 90.00°, γ = 90.00°
Element x y z (fractional)
Sr (0.175, 0.675, 0.500)
Ta (0.000, 0.000, 0.000)
Sr (0.325, 0.175, 0.500)
Sr (0.675, 0.825, 0.500)
Ta (0.500, 0.500, 0.000)
Pt (0.141, 0.359, 0.000)
Pt (0.359, 0.859, 0.000)
Pt (0.641, 0.141, 0.000)
Sr (0.825, 0.325, 0.500)
Pt (0.859, 0.641, 0.000)

We find (ii) to be the most stable, with the next structure 924 meV/atom higher.

(i)
# Sr2TaPt

A relaxed Sr2TaPt crystal (GGA-PBE, the Alexandria database).

Computed properties:
As for the density of states at the Fermi level: 1.29 states/eV/atom. Its symmetry is No. 10.

a = 4.576 Å, b = 3.587 Å, c = 7.192 Å
α = 60.37°, β = 90.00°, γ = 90.00°
Element x y z (fractional)
Sr (0.000, 0.490, 0.513)
Pt (0.500, 0.750, 0.750)
Ta (0.500, 0.250, 0.250)
Sr (0.000, 0.010, 0.987)

(ii)
# Sr2TaPt

A relaxed Sr2TaPt crystal (GGA-PBE, the Alexandria database).

Computed properties:
As for the density of states at the Fermi level: 1.11 states/eV/atom. Its symmetry is No. 123.

a = 4.335 Å, b = 4.344 Å, c = 5.117 Å
α = 90.00°, β = 90.00°, γ = 90.00°
Element x y z (fractional)
Sr (0.500, 0.500, 0.000)
Ta (0.500, 0.000, 0.500)
Pt (0.000, 0.500, 0.500)
Sr (0.000, 0.000, 0.000)

(iii)
# Sr2TaPt

A relaxed Sr2TaPt crystal (GGA-PBE, the Alexandria database).

Computed properties:
As for the density of states at the Fermi level: 1.25 states/eV/atom. Its symmetry is No. 47.

a = 3.420 Å, b = 3.213 Å, c = 9.526 Å
α = 90.00°, β = 90.00°, γ = 90.00°
Element x y z (fractional)
Pt (0.500, 0.500, 0.750)
Ta (0.500, 0.500, 0.250)
Sr (0.000, 0.000, 0.964)
Sr (0.000, 0.000, 0.536)

We find (iii) to be the most stable, with the next structure 166 meV/atom higher.

(i)
# Sr2TaPt

A relaxed Sr2TaPt crystal (GGA-PBE, the Alexandria database).

Computed properties:
As for the density of states at the Fermi level: 1.11 states/eV/atom. Its symmetry is No. 44.

a = 6.597 Å, b = 6.597 Å, c = 5.535 Å
α = 65.18°, β = 65.18°, γ = 33.21°
Element x y z (fractional)
Sr (0.757, 0.757, 0.743)
Sr (0.963, 0.963, 0.037)
Pt (0.211, 0.211, 0.288)
Ta (0.568, 0.568, 0.432)

(ii)
# Sr2TaPt

A relaxed Sr2TaPt crystal (GGA-PBE, the Alexandria database).

Computed properties:
As for the density of states at the Fermi level: 0.80 states/eV/atom. Its symmetry is No. 166.

a = 10.355 Å, b = 10.355 Å, c = 10.355 Å
α = 19.21°, β = 19.21°, γ = 19.21°
Element x y z (fractional)
Pt (0.750, 0.750, 0.750)
Sr (0.491, 0.491, 0.491)
Sr (0.009, 0.009, 0.009)
Ta (0.250, 0.250, 0.250)

(iii)
# Sr2TaPt

A relaxed Sr2TaPt crystal (GGA-PBE, the Alexandria database).

Computed properties:
As for the density of states at the Fermi level: 1.20 states/eV/atom. Its symmetry is No. 216.

a = 5.166 Å, b = 5.166 Å, c = 5.166 Å
α = 60.00°, β = 60.00°, γ = 60.00°
Element x y z (fractional)
Sr (0.000, 0.000, 0.000)
Ta (0.750, 0.750, 0.750)
Sr (0.250, 0.250, 0.250)
Pt (0.500, 0.500, 0.500)

(iv)
# Sr2TaPt

A relaxed Sr2TaPt crystal (GGA-PBE, the Alexandria database).

Computed properties:
As for the density of states at the Fermi level: 0.90 states/eV/atom. Its symmetry is No. 10.

a = 3.131 Å, b = 6.180 Å, c = 6.246 Å
α = 55.40°, β = 90.00°, γ = 90.00°
Element x y z (fractional)
Ta (0.500, 0.500, 0.500)
Pt (0.000, 0.000, 0.500)
Sr (0.000, 0.000, 0.000)
Sr (0.500, 0.500, 0.000)

We find (i) to be the most stable, with the next structure 443 meV/atom higher.

(i)
# Sr2TaPt

A relaxed Sr2TaPt crystal (GGA-PBE, the Alexandria database).

Computed properties:
As for the density of states at the Fermi level: 1.12 states/eV/atom. Its symmetry is No. 99.

a = 3.549 Å, b = 3.549 Å, c = 9.551 Å
α = 90.00°, β = 90.00°, γ = 90.00°
Element x y z (fractional)
Pt (0.500, 0.500, 0.677)
Sr (0.000, 0.000, 0.930)
Ta (0.000, 0.000, 0.584)
Sr (0.500, 0.500, 0.309)

(ii)
# Sr2TaPt

A relaxed Sr2TaPt crystal (GGA-PBE, the Alexandria database).

Computed properties:
As for the density of states at the Fermi level: 1.45 states/eV/atom. Its symmetry is No. 139.

a = 5.997 Å, b = 5.997 Å, c = 5.997 Å
α = 137.53°, β = 137.53°, γ = 61.63°
Element x y z (fractional)
Pt (0.750, 0.250, 0.500)
Sr (0.000, 0.000, 0.000)
Sr (0.500, 0.500, 0.000)
Ta (0.250, 0.750, 0.500)

(iii)
# Sr2TaPt

A relaxed Sr2TaPt crystal (GGA-PBE, the Alexandria database).

Computed properties:
As for the density of states at the Fermi level: 1.15 states/eV/atom. Its symmetry is No. 119.

a = 5.959 Å, b = 5.959 Å, c = 5.959 Å
α = 134.53°, β = 134.53°, γ = 66.26°
Element x y z (fractional)
Ta (0.500, 0.500, 0.000)
Pt (0.750, 0.250, 0.500)
Sr (0.000, 0.000, 0.000)
Sr (0.250, 0.750, 0.500)

(iv)
# Sr2TaPt

A relaxed Sr2TaPt crystal (GGA-PBE, the Alexandria database).

Computed properties:
As for the density of states at the Fermi level: 1.40 states/eV/atom. Its symmetry is No. 71.

a = 9.547 Å, b = 9.547 Å, c = 3.852 Å
α = 78.41°, β = 78.41°, γ = 22.22°
Element x y z (fractional)
Pt (0.250, 0.250, 0.250)
Ta (0.750, 0.750, 0.750)
Sr (0.901, 0.901, 0.100)
Sr (0.599, 0.599, 0.400)

We find (i) to be the most stable, with the next structure 65 meV/atom higher.

(i)
# Sr2TaPt

A relaxed Sr2TaPt crystal (GGA-PBE, the Alexandria database).

Computed properties:
As for the density of states at the Fermi level: 1.16 states/eV/atom. Its symmetry is No. 225.

a = 5.396 Å, b = 5.396 Å, c = 5.396 Å
α = 60.00°, β = 60.00°, γ = 60.00°
Element x y z (fractional)
Sr (0.750, 0.750, 0.750)
Sr (0.250, 0.250, 0.250)
Ta (0.000, 0.000, 0.000)
Pt (0.500, 0.500, 0.500)

(ii)
# Sr2TaPt

A relaxed Sr2TaPt crystal (GGA-PBE, the Alexandria database).

Computed properties:
As for the density of states at the Fermi level: 0.82 states/eV/atom. Its symmetry is No. 122.

a = 11.192 Å, b = 11.192 Å, c = 8.298 Å
α = 47.59°, β = 47.59°, γ = 90.00°
Element x y z (fractional)
Sr (0.968, 0.625, 0.250)
Pt (0.000, 0.000, 0.000)
Sr (0.375, 0.218, 0.750)
Sr (0.782, 0.125, 0.250)
Sr (0.875, 0.032, 0.750)
Ta (0.500, 0.500, 0.000)
Ta (0.250, 0.750, 0.500)
Pt (0.750, 0.250, 0.500)

(iii)
# Sr2TaPt

A relaxed Sr2TaPt crystal (GGA-PBE, the Alexandria database).

Computed properties:
As for the density of states at the Fermi level: 1.16 states/eV/atom. Its symmetry is No. 65.

a = 5.770 Å, b = 7.295 Å, c = 3.242 Å
α = 63.53°, β = 90.05°, γ = 120.46°
Element x y z (fractional)
Ta (0.500, 0.500, 0.000)
Sr (0.000, 0.000, 0.000)
Pt (0.500, 0.000, 0.500)
Sr (0.000, 0.500, 0.500)

(iv)
# Sr2TaPt

A relaxed Sr2TaPt crystal (GGA-PBE, the Alexandria database).

Computed properties:
As for the density of states at the Fermi level: 1.43 states/eV/atom. Its symmetry is No. 38.

a = 4.049 Å, b = 5.195 Å, c = 6.507 Å
α = 66.46°, β = 90.00°, γ = 90.00°
Element x y z (fractional)
Ta (0.000, 0.677, 0.520)
Sr (0.500, 0.276, 0.323)
Sr (0.000, 0.988, 0.898)
Pt (0.500, 0.558, 0.759)

We find (iv) to be the most stable, with the next structure 282 meV/atom higher.

(i)
# SrTaPt

A relaxed SrTaPt crystal (GGA-PBE, the Alexandria database).

Computed properties:
As for the density of states at the Fermi level: 0.68 states/eV/atom. Its symmetry is No. 63.

a = 3.634 Å, b = 12.910 Å, c = 6.323 Å
α = 90.00°, β = 90.00°, γ = 90.00°
Element x y z (fractional)
Sr (0.000, 0.302, 0.750)
Ta (0.000, 0.000, 0.000)
Sr (0.500, 0.198, 0.250)
Pt (0.500, 0.086, 0.750)
Pt (0.500, 0.914, 0.250)
Pt (0.000, 0.586, 0.750)
Pt (0.000, 0.414, 0.250)
Ta (0.500, 0.500, 0.500)
Sr (0.500, 0.802, 0.750)
Ta (0.000, 0.000, 0.500)
Ta (0.500, 0.500, 0.000)
Sr (0.000, 0.698, 0.250)

(ii)
# SrTaPt

A relaxed SrTaPt crystal (GGA-PBE, the Alexandria database).

Computed properties:
As for the density of states at the Fermi level: 0.90 states/eV/atom. Its symmetry is No. 63.

a = 4.507 Å, b = 11.924 Å, c = 5.486 Å
α = 90.00°, β = 90.00°, γ = 90.00°
Element x y z (fractional)
Ta (0.500, 0.000, 0.000)
Ta (0.500, 0.000, 0.500)
Pt (0.000, 0.943, 0.250)
Sr (0.000, 0.212, 0.250)
Pt (0.500, 0.557, 0.750)
Sr (0.500, 0.288, 0.750)
Pt (0.000, 0.057, 0.750)
Ta (0.000, 0.500, 0.000)
Sr (0.000, 0.788, 0.750)
Pt (0.500, 0.443, 0.250)
Ta (0.000, 0.500, 0.500)
Sr (0.500, 0.712, 0.250)

We find (ii) to be the most stable, with the next structure 35 meV/atom higher.

(i)
# SrTaPt

A relaxed SrTaPt crystal (GGA-PBE, the Alexandria database).

Computed properties:
As for the density of states at the Fermi level: 2.24 states/eV/atom. Its symmetry is No. 216.

a = 4.749 Å, b = 4.749 Å, c = 4.749 Å
α = 60.00°, β = 60.00°, γ = 60.00°
Element x y z (fractional)
Pt (0.500, 0.500, 0.500)
Sr (0.750, 0.750, 0.750)
Ta (0.000, 0.000, 0.000)

(ii)
# SrTaPt

A relaxed SrTaPt crystal (GGA-PBE, the Alexandria database).

Computed properties:
As for the density of states at the Fermi level: 0.58 states/eV/atom. Its symmetry is No. 107.

a = 6.630 Å, b = 6.630 Å, c = 3.491 Å
α = 74.74°, β = 74.74°, γ = 30.53°
Element x y z (fractional)
Pt (0.956, 0.956, 0.044)
Sr (0.661, 0.661, 0.339)
Ta (0.383, 0.383, 0.617)

We find (ii) to be the most stable, with the next structure 1728 meV/atom higher.

(i)
# SrTaPt

A relaxed SrTaPt crystal (GGA-PBE, the Alexandria database).

Computed properties:
As for the density of states at the Fermi level: 0.85 states/eV/atom. Its symmetry is No. 71.

a = 4.421 Å, b = 3.711 Å, c = 18.032 Å
α = 90.00°, β = 90.00°, γ = 90.00°
Element x y z (fractional)
Pt (0.500, 0.000, 0.892)
Sr (0.500, 0.000, 0.672)
Sr (0.000, 0.500, 0.828)
Sr (0.000, 0.500, 0.172)
Pt (0.000, 0.500, 0.392)
Pt (0.500, 0.000, 0.108)
Ta (0.000, 0.000, 0.000)
Sr (0.500, 0.000, 0.328)
Ta (0.000, 0.000, 0.500)
Pt (0.000, 0.500, 0.608)
Ta (0.500, 0.500, 0.500)
Ta (0.500, 0.500, 0.000)

(ii)
# SrTaPt

A relaxed SrTaPt crystal (GGA-PBE, the Alexandria database).

Computed properties:
As for the density of states at the Fermi level: 0.62 states/eV/atom. Its symmetry is No. 156.

a = 4.363 Å, b = 4.363 Å, c = 4.982 Å
α = 90.00°, β = 90.00°, γ = 120.00°
Element x y z (fractional)
Sr (0.333, 0.667, 0.334)
Pt (0.000, 0.000, 0.832)
Ta (0.667, 0.333, 0.834)

We find (i) to be the most stable, with the next structure 203 meV/atom higher.